Record 1
First-principles (PBE) data for crystalline ScInSi2 at its relaxed geometry, as listed in Alexandria via LeMat-Bulk.

## Properties
The value obtained for the density of states at the Fermi level is 1.50 states/eV/f.u. Its formation energy without anion corrections is -0.6 eV/f.u. The uncorrected energy is -5.121 eV/atom. The size of the total moment is 0.000 μB/f.u.

```
data_ScInSi2
_space_group_name_H-M_alt 'P 4/m m m'
_space_group_IT_number 123
_space_group_name_Hall '-P 4 2'
_cell_length_a 4.336
_cell_length_b 4.336
_cell_length_c 3.911
_cell_angle_alpha 90.00
_cell_angle_beta 90.00
_cell_angle_gamma 90.00
loop_
_atom_site_label
_atom_site_type_symbol
_atom_site_fract_x
_atom_site_fract_y
_atom_site_fract_z
_atom_site_occupancy
Sc1 Sc 0.000 0.000 0.000 1
In1 In 0.500 0.500 0.000 1
Si1 Si 0.000 0.500 0.500 1
```



Record 2
First-principles (PBE) data for crystalline ScIn2Si at its relaxed geometry, as listed in Alexandria via LeMat-Bulk.

## Properties
The value obtained for the density of states at the Fermi level is 3.19 states/eV/f.u. Its formation energy without anion corrections is -0.1 eV/f.u. The uncorrected energy is -4.321 eV/atom. The size of the total moment is 0.000 μB/f.u.

```
data_ScIn2Si
_space_group_name_H-M_alt 'P 4/m m m'
_space_group_IT_number 123
_space_group_name_Hall '-P 4 2'
_cell_length_a 3.691
_cell_length_b 3.691
_cell_length_c 6.295
_cell_angle_alpha 90.00
_cell_angle_beta 90.00
_cell_angle_gamma 90.00
loop_
_atom_site_label
_atom_site_type_symbol
_atom_site_fract_x
_atom_site_fract_y
_atom_site_fract_z
_atom_site_occupancy
Sc1 Sc 0.000 0.000 0.000 1
In1 In 0.500 0.500 0.269 1
Si1 Si 0.000 0.000 0.500 1
```



Please write out number 2 again, unchanged.
First-principles (PBE) data for crystalline ScIn2Si at its relaxed geometry, as listed in Alexandria via LeMat-Bulk.

## Properties
The value obtained for the density of states at the Fermi level is 3.19 states/eV/f.u. Its formation energy without anion corrections is -0.1 eV/f.u. The uncorrected energy is -4.321 eV/atom. The size of the total moment is 0.000 μB/f.u.

```
data_ScIn2Si
_space_group_name_H-M_alt 'P 4/m m m'
_space_group_IT_number 123
_space_group_name_Hall '-P 4 2'
_cell_length_a 3.691
_cell_length_b 3.691
_cell_length_c 6.295
_cell_angle_alpha 90.00
_cell_angle_beta 90.00
_cell_angle_gamma 90.00
loop_
_atom_site_label
_atom_site_type_symbol
_atom_site_fract_x
_atom_site_fract_y
_atom_site_fract_z
_atom_site_occupancy
Sc1 Sc 0.000 0.000 0.000 1
In1 In 0.500 0.500 0.269 1
Si1 Si 0.000 0.000 0.500 1
```



- Number 2 is which compound?
  ScIn2Si



- Among the records above, which one has the lowest formation energy without anion corrections?
  ScInSi2